# 1
Density functional theory data (GGA-PBE) for a relaxed PrNiAsN crystal.

```
PrNiAsN
1.0
3.8702 0.0000 0.0000
0.0000 3.8702 0.0000
0.0000 0.0000 8.4723
Pr Ni As N
2 2 2 2
Direct
0.2500 0.2500 0.1593 Pr
0.7500 0.7500 0.8407 Pr
0.2500 0.7500 0.5000 Ni
0.7500 0.2500 0.5000 Ni
0.2500 0.2500 0.6503 As
0.7500 0.7500 0.3497 As
0.2500 0.2500 0.8763 N
0.7500 0.7500 0.1237 N
```

The value obtained for the formation energy from raw total energies is -812.1 meV per atom. Its density of states at the Fermi level is 1.541 states/eV/f.u. Its space-group type is No. 129. The calculation puts the electronic total energy at -6.696 eV per atom.

=====

# 2
Density functional theory data (GGA-PBE) for a relaxed K5CdO3 crystal.

```
K5CdO3
1.0
5.8952 -4.5041 0.0000
5.8952 4.5041 0.0000
-3.1985 0.0000 8.6076
K Cd O
10 2 6
Direct
0.0552 0.0552 0.3629 K
0.1308 0.5026 0.3484 K
0.1960 0.8040 0.0000 K
0.2721 0.2721 0.9608 K
0.4974 0.8692 0.6516 K
0.5026 0.1308 0.3484 K
0.7279 0.7279 0.0392 K
0.8040 0.1960 0.0000 K
0.8692 0.4974 0.6516 K
0.9448 0.9448 0.6371 K
0.4188 0.4188 0.7130 Cd
0.5812 0.5812 0.2870 Cd
0.1599 0.1599 0.1636 O
0.2144 0.2144 0.6462 O
0.5000 0.5000 0.0000 O
0.5000 0.5000 0.5000 O
0.7856 0.7856 0.3538 O
0.8401 0.8401 0.8364 O
```

The value obtained for the formation energy from raw total energies is -924.4 meV per atom. Its density of states at the Fermi level is 0.077 states/eV/f.u. As for the energy above the most stable polymorph in this dataset: 0.005 eV/atom. Its space-group type is No. 12. The calculation puts the electronic total energy at -3.289 eV per atom.

=====

Which value of formation energy from raw total energies does entry 2 give? -924.4 meV per atom